# Sc4GaBr5

A geometry-optimized Sc4GaBr5 structure (GGA-PBE, the Alexandria database).

Cell and atoms, written as extended XYZ:
```
10
Lattice="8.705 -1.920 0.000 8.705 1.920 0.000 -1.720 0.000 7.812" Properties=species:S:1:pos:R:3 pbc="T T T"
Sc -0.361 0.000 1.768
Sc 4.489 0.000 7.195
Sc 11.199 0.000 0.617
Sc 16.050 0.000 6.044
Ga 8.705 0.000 0.000
Br 2.324 0.000 2.569
Br 1.562 0.000 6.563
Br 7.844 0.000 3.906
Br 14.127 0.000 1.249
Br 13.365 0.000 5.243
```

Computed properties:
calculated volume = 26.1 A^3/atom
formation energy (no corrections) = -1.2622 eV per atom
magnetic moment = 0.000 μB/f.u.
DOS(E_F) = 5.431 states/eV per cell
symmetry = C2/m
E = -4.934 eV/atom